No. 1
Computed, not measured: a relaxed structure of Tb5Ho3Bi8 at the PBE-GGA level of DFT.

The structure in POSCAR format:
```
Tb5Ho3Bi8
1.0
4.479 2.586 7.314
-4.479 2.586 7.314
0.000 -5.171 7.314
Tb Ho Bi
5 3 8
Direct
0.000 0.000 0.000 Tb
0.000 0.500 0.500 Tb
0.500 0.000 0.500 Tb
0.500 0.500 0.000 Tb
0.500 0.500 0.500 Tb
0.000 0.000 0.500 Ho
0.000 0.500 0.000 Ho
0.500 0.000 0.000 Ho
0.248 0.750 0.750 Bi
0.249 0.249 0.249 Bi
0.250 0.250 0.752 Bi
0.250 0.752 0.250 Bi
0.750 0.248 0.750 Bi
0.750 0.750 0.248 Bi
0.751 0.751 0.751 Bi
0.752 0.250 0.250 Bi
```

## Properties
DOS at the Fermi energy in states/eV/atom: 0.19
Energy of formation in eV per atom: -0.8623
Total moment in Bohr magnetons per cell: 0.0
Mass density in g/cm³: 9.68
VASP energy in eV/atom: -5.11
Space group: R-3m (166)

=====

No. 2
Computed, not measured: a relaxed structure of EuYS at the PBE-GGA level of DFT.

The structure in POSCAR format:
```
EuYS
1.0
3.887 0.000 0.000
-1.943 3.366 0.000
0.000 0.000 6.608
Eu Y S
1 1 1
Direct
0.000 0.000 0.000 Eu
0.667 0.333 0.479 Y
0.333 0.667 0.724 S
```

## Properties
DOS at the Fermi energy in states/eV/atom: 1.00
Total moment in Bohr magnetons per cell: 8.1
Mass density in g/cm³: 5.24
VASP energy in eV/atom: -8.22
ΔE_f (raw) in meV/atom: -1268
Space group: P3m1 (156)

=====

No. 3
Computed, not measured: a relaxed structure of HgHPd4Pb at the PBE-GGA level of DFT.

The structure in POSCAR format:
```
HgHPd4Pb
1.0
2.855 -7.023 0.000
2.855 7.023 0.000
0.000 0.000 5.724
Hg H Pd Pb
2 2 8 2
Direct
0.096 0.904 0.750 Hg
0.904 0.096 0.250 Hg
0.241 0.759 0.250 H
0.759 0.241 0.750 H
0.000 0.500 0.000 Pd
0.000 0.500 0.500 Pd
0.101 0.899 0.250 Pd
0.396 0.604 0.250 Pd
0.500 0.000 0.000 Pd
0.500 0.000 0.500 Pd
0.604 0.396 0.750 Pd
0.899 0.101 0.750 Pd
0.406 0.594 0.750 Pb
0.594 0.406 0.250 Pb
```

## Properties
DOS at the Fermi energy in states/eV/atom: 0.36
Total moment in Bohr magnetons per cell: 0.0
Mass density in g/cm³: 12.07
VASP energy in eV/atom: -4.19
Space group: Cmcm (63)

=====

Q: Which value of total moment does entry 3 give?
A: 0.0 Bohr magnetons per cell

=====

Q: Which of these has the lowest VASP energy?
A: EuYS